(i)
VASP calculation (PBE) on a geometry-optimized BaInNi3 structure.

abc: 4.9664 4.9664 4.9664
angles: 90.00 90.00 90.00
Last column: nearest neighbours and their distance in Å.
Fractional positions:
Ba 0.0000 0.0000 0.0000  6 Ni 2.48
In 0.5000 0.5000 0.5000  12 Ni 3.51
Ni 0.0000 0.0000 0.5000  2 Ba 2.48
Ni 0.0000 0.5000 0.0000  2 Ba 2.48
Ni 0.5000 0.0000 0.0000  2 Ba 2.48

Summary:
N(E_F): 4.565 states/eV/cell

(ii)
VASP calculation (PBE) on a geometry-optimized BaInNi3 structure.

abc: 4.8744 4.8744 4.8744
angles: 90.00 90.00 90.00
Last column: nearest neighbours and their distance in Å.
Fractional positions:
Ba 0.0000 0.0000 0.0000  12 Ni 3.45
In 0.5000 0.5000 0.5000  6 Ni 2.44
Ni 0.0000 0.5000 0.5000  2 In 2.44
Ni 0.5000 0.0000 0.5000  2 In 2.44
Ni 0.5000 0.5000 0.0000  2 In 2.44

Summary:
N(E_F): 7.861 states/eV/cell

Most stable structure: (ii)

(i)
VASP calculation (PBE) on a geometry-optimized BaSrIn2Ni structure.

abc: 5.2174 5.2174 5.5200
angles: 90.00 90.00 90.00
Last column: nearest neighbours and their distance in Å.
Fractional positions:
Ba 0.0000 0.0000 0.0000  4 Sr 3.69, 8 In 3.80
Sr 0.5000 0.5000 0.0000  2 Ni 2.76
In 0.0000 0.5000 0.5000  2 Ni 2.61
In 0.5000 0.0000 0.5000  2 Ni 2.61
Ni 0.5000 0.5000 0.5000  4 In 2.61, 2 Sr 2.76

Summary:
N(E_F): 3.573 states/eV/cell

(ii)
VASP calculation (PBE) on a geometry-optimized BaSrIn2Ni structure.

abc: 5.2622 5.2622 5.5731
angles: 90.00 90.00 90.00
Last column: nearest neighbours and their distance in Å.
Fractional positions:
Ba 0.0000 0.0000 0.0000  2 Ni 2.79
Sr 0.5000 0.5000 0.0000  4 Ba 3.72, 8 In 3.83
In 0.0000 0.5000 0.5000  2 Ni 2.63
In 0.5000 0.0000 0.5000  2 Ni 2.63
Ni 0.0000 0.0000 0.5000  4 In 2.63, 2 Ba 2.79

Summary:
N(E_F): 4.411 states/eV/cell

Most stable structure: (i)

(i)
VASP calculation (PBE) on a geometry-optimized BaSr2InNi structure.

abc: 5.8298 5.8298 5.2407
angles: 90.00 90.00 90.00
Last column: nearest neighbours and their distance in Å.
Fractional positions:
Ba 0.0000 0.0000 0.0000  8 Sr 3.92, 4 In 4.12
Sr 0.0000 0.5000 0.5000  2 Ni 2.91
Sr 0.5000 0.0000 0.5000  2 Ni 2.91
In 0.5000 0.5000 0.0000  2 Ni 2.62
Ni 0.5000 0.5000 0.5000  2 In 2.62, 4 Sr 2.91

Summary:
N(E_F): 3.998 states/eV/cell

(ii)
VASP calculation (PBE) on a geometry-optimized BaSr2InNi structure.

abc: 5.7733 5.7733 5.8785
angles: 90.00 90.00 90.00
Last column: nearest neighbours and their distance in Å.
Fractional positions:
Ba 0.0000 0.0000 0.0000  2 Ni 2.94
Sr 0.0000 0.5000 0.5000  2 Ni 2.89
Sr 0.5000 0.0000 0.5000  2 Ni 2.89
In 0.5000 0.5000 0.0000  4 Ba 4.08, 8 Sr 4.12
Ni 0.0000 0.0000 0.5000  4 Sr 2.89, 2 Ba 2.94

Summary:
N(E_F): 4.565 states/eV/cell

Most stable structure: (i)

(i)
VASP calculation (PBE) on a geometry-optimized BaTlIn2Ni structure.

abc: 5.1045 5.1045 5.7361
angles: 90.00 90.00 90.00
Last column: nearest neighbours and their distance in Å.
Fractional positions:
Ba 0.0000 0.0000 0.0000  2 Ni 2.87
Tl 0.5000 0.5000 0.0000  4 Ba 3.61, 8 In 3.84
In 0.0000 0.5000 0.5000  2 Ni 2.55
In 0.5000 0.0000 0.5000  2 Ni 2.55
Ni 0.0000 0.0000 0.5000  4 In 2.55

Summary:
N(E_F): 3.565 states/eV/cell

(ii)
VASP calculation (PBE) on a geometry-optimized BaTlIn2Ni structure.

abc: 5.1404 5.1404 5.2524
angles: 90.00 90.00 90.00
Last column: nearest neighbours and their distance in Å.
Fractional positions:
Ba 0.0000 0.0000 0.0000  4 Tl 3.63, 8 In 3.67
Tl 0.5000 0.5000 0.0000  2 Ni 2.63
In 0.0000 0.5000 0.5000  2 Ni 2.57
In 0.5000 0.0000 0.5000  2 Ni 2.57
Ni 0.5000 0.5000 0.5000  4 In 2.57, 2 Tl 2.63

Summary:
N(E_F): 3.601 states/eV/cell

Most stable structure: (ii)

(i)
VASP calculation (PBE) on a geometry-optimized Ba2TlInNi structure.

abc: 5.9769 5.9769 5.0316
angles: 90.00 90.00 90.00
Last column: nearest neighbours and their distance in Å.
Fractional positions:
Ba 0.0000 0.5000 0.0000  2 Ni 2.99
Ba 0.5000 0.0000 0.0000  2 Ni 2.99
Tl 0.0000 0.0000 0.5000  2 Ni 2.52
In 0.5000 0.5000 0.5000  8 Ba 3.91, 4 Tl 4.23
Ni 0.0000 0.0000 0.0000  2 Tl 2.52

Summary:
N(E_F): 4.521 states/eV/cell

(ii)
VASP calculation (PBE) on a geometry-optimized Ba2TlInNi structure.

abc: 5.9838 5.9838 4.9896
angles: 90.00 90.00 90.00
Last column: nearest neighbours and their distance in Å.
Fractional positions:
Ba 0.0000 0.5000 0.0000  2 Ni 2.99
Ba 0.5000 0.0000 0.0000  2 Ni 2.99
Tl 0.0000 0.0000 0.5000  8 Ba 3.90, 4 In 4.23
In 0.5000 0.5000 0.5000  2 Ni 2.49
Ni 0.5000 0.5000 0.0000  2 In 2.49

Summary:
N(E_F): 4.203 states/eV/cell

Most stable structure: (ii)

(i)
VASP calculation (PBE) on a geometry-optimized Ba6In2O structure.

abc: 8.0312 8.1275 13.9534
angles: 90.00 124.96 90.00
Last column: nearest neighbours and their distance in Å.
Fractional positions:
Ba 0.1568 0.0088 0.2375  1 O 2.79
Ba 0.1568 0.4912 0.7375  1 O 2.79
Ba 0.2418 0.7281 0.0396  1 O 2.78
Ba 0.2418 0.7719 0.5396  1 O 2.78
Ba 0.3145 0.2061 0.0420  1 O 2.80
Ba 0.3145 0.2939 0.5420  1 O 2.80
Ba 0.6855 0.7061 0.4580  1 O 2.80
Ba 0.6855 0.7939 0.9580  1 O 2.80
Ba 0.7582 0.2281 0.4604  1 O 2.78
Ba 0.7582 0.2719 0.9604  1 O 2.78
Ba 0.8432 0.5088 0.2625  1 O 2.79
Ba 0.8432 0.9912 0.7625  1 O 2.79
In 0.2634 0.0406 0.7492  6 Ba 3.51-3.82
In 0.2634 0.4594 0.2492  6 Ba 3.51-3.82
In 0.7366 0.5406 0.7508  6 Ba 3.51-3.82
In 0.7366 0.9594 0.2508  6 Ba 3.51-3.82
O 0.0000 0.0000 0.0000  6 Ba 2.78-2.80
O 0.0000 0.5000 0.5000  6 Ba 2.78-2.80

Summary:
N(E_F): 16.525 states/eV/cell

(ii)
VASP calculation (PBE) on a geometry-optimized Ba6In2O structure.

abc: 8.0212 8.0212 8.0212
angles: 60.00 60.00 60.00
Last column: nearest neighbours and their distance in Å.
Fractional positions:
Ba 0.2407 0.2407 0.7593  1 O 2.73
Ba 0.2407 0.7593 0.2407  1 O 2.73
Ba 0.2407 0.7593 0.7593  1 O 2.73
Ba 0.7593 0.2407 0.2407  1 O 2.73
Ba 0.7593 0.2407 0.7593  1 O 2.73
Ba 0.7593 0.7593 0.2407  1 O 2.73
In 0.2500 0.2500 0.2500  12 Ba 4.01
In 0.7500 0.7500 0.7500  12 Ba 4.01
O 0.0000 0.0000 0.0000  6 Ba 2.73

Summary:
N(E_F): 10.253 states/eV/cell

Most stable structure: (i)